[1]
CdB2Br | PBE | optimized geometry

Lattice parameters (Å, degrees): 5.4295 5.4295 6.4531 65.12 65.12 90.00
Atoms (fractional coordinates):
Br1 0.2500 0.7500 0.5000
Br2 0.5000 0.5000 0.0000
B1 0.1210 0.6250 0.2500
B2 0.6290 0.1250 0.2500
B3 0.8750 0.8790 0.7500
B4 0.3750 0.3710 0.7500
Cd1 0.0000 0.0000 0.0000
Cd2 0.7500 0.2500 0.5000

Calculated values
density: 4.647 g/cm3
SG: I-42d
offset from the most stable computed form: 0.000 eV per atom
Fermi-level density of states: 0.416 states/eV per atom
raw formation energy: 1.483 eV per atom

[2]
CdB2Br2 | PBE | optimized geometry

Lattice parameters (Å, degrees): 9.0300 9.0300 3.1115 90.00 90.00 90.00
Atoms (fractional coordinates):
Br1 0.8637 0.6363 0.0000
Br2 0.1363 0.3637 0.0000
Br3 0.6363 0.1363 0.0000
Br4 0.3637 0.8637 0.0000
B1 0.2535 0.2465 0.5000
B2 0.7465 0.7535 0.5000
B3 0.7535 0.2535 0.5000
B4 0.2465 0.7465 0.5000
Cd1 0.0000 0.0000 0.0000
Cd2 0.5000 0.5000 0.0000

Calculated values
density: 3.846 g/cm3
SG: P4/mbm
offset from the most stable computed form: 0.000 eV per atom
Fermi-level density of states: 0.000 states/eV per atom
raw formation energy: 1.244 eV per atom

[3]
Cs2CdBBr6 | PBE | optimized geometry

Lattice parameters (Å, degrees): 7.5051 7.5051 7.7572 61.07 61.07 90.00
Atoms (fractional coordinates):
Cs1 0.2500 0.7500 0.5000
Cs2 0.7500 0.2500 0.5000
Br1 0.7201 0.2799 0.0000
Br2 0.7598 0.7598 0.4805
Br3 0.2799 0.2799 0.0000
Br4 0.2799 0.7201 0.0000
Br5 0.2402 0.2402 0.5195
Br6 0.7201 0.7201 0.0000
B1 0.5000 0.5000 0.0000
Cd1 0.0000 0.0000 0.0000

Calculated values
density: 4.525 g/cm3
SG: I4/mmm
Fermi-level density of states: 0.240 states/eV per atom
raw formation energy: -0.750 eV per atom

[4]
CdBBrF4 | PBE | optimized geometry

Lattice parameters (Å, degrees): 6.5216 6.5216 8.0597 64.98 64.98 64.68
Atoms (fractional coordinates):
F1 0.6426 0.6426 0.4877
F2 0.8448 0.5150 0.7081
F3 0.3574 0.3574 0.5123
F4 0.1552 0.4850 0.2919
F5 0.5150 0.8448 0.7081
F6 0.5292 0.5292 0.1924
F7 0.4850 0.1552 0.2919
F8 0.4708 0.4708 0.8076
B1 0.3871 0.3871 0.3145
B2 0.6129 0.6129 0.6855
Cd1 0.1535 0.1535 0.7883
Cd2 0.8465 0.8465 0.2117
Br1 0.1084 0.1084 0.1381
Br2 0.8916 0.8916 0.8619

Calculated values
density: 3.456 g/cm3
SG: C2/m
Fermi-level density of states: 0.000 states/eV per atom
raw formation energy: -2.273 eV per atom

[5]
CdBH6Br | PBE | optimized geometry

Lattice parameters (Å, degrees): 7.6638 5.5182 4.1594 95.81 76.91 70.06
Atoms (fractional coordinates):
H1 0.2745 0.1673 0.3316
H2 0.2786 0.5188 0.3826
H3 0.2532 0.1829 0.5452
H4 0.3827 0.3064 0.7230
H5 0.1611 0.7409 0.7496
H6 0.5207 0.1744 0.2292
Br1 0.0358 0.9834 0.9911
Cd1 0.7208 0.6167 0.6100
B1 0.3722 0.3093 0.4376

Calculated values
density: 2.199 g/cm3
SG: P1
Fermi-level density of states: 0.000 states/eV per atom
calculated total energy: -28.99 eV/cell

[6]
Cd2BIBr | PBE | optimized geometry

Lattice parameters (Å, degrees): 5.0509 4.6620 5.0509 90.00 90.00 90.00
Atoms (fractional coordinates):
Br1 0.0000 0.5000 0.0000
Cd1 0.5000 0.0000 0.0000
Cd2 0.0000 0.0000 0.5000
B1 0.0000 0.0000 0.0000
I1 0.5000 0.5000 0.5000

Calculated values
density: 6.177 g/cm3
SG: P4/mmm
Fermi-level density of states: 0.423 states/eV per atom
raw formation energy: 0.372 eV per atom